No. 1
{
  "formula": "ScTa2Pb",
  "functional": "GGA-PBEsol",
  "state": "optimized geometry",
  "e_form_ev_per_atom": 0.2192,
  "cell": [[10.2768, 0.0000, 0.0000], [0.0000, 3.0509, 0.0000], [-0.7888, 0.0000, 5.0777]],
  "species": ["Sc", "Sc", "Ta", "Ta", "Ta", "Ta", "Pb", "Pb"],
  "frac_coords": [[0.0000, 0.0000, 0.0000], [0.5000, 0.5000, 0.0000], [0.2455, 0.0000, 0.7586], [0.2545, 0.5000, 0.2414], [0.7455, 0.5000, 0.7586], [0.7545, 0.0000, 0.2414], [0.0000, 0.5000, 0.5000], [0.5000, 0.0000, 0.5000]]
}

No. 2
{
  "formula": "LiReSi2",
  "functional": "GGA-PBEsol",
  "state": "optimized geometry",
  "raw_formation_energy_mev_per_atom": -115,
  "cell": [[5.9003, 0.0000, 0.0000], [0.0000, 5.9003, 0.0000], [0.0000, 0.0000, 5.9003]],
  "species": ["Li", "Li", "Li", "Li", "Re", "Re", "Re", "Re", "Si", "Si", "Si", "Si", "Si", "Si", "Si", "Si"],
  "frac_coords": [[0.0000, 0.0000, 0.0000], [0.0000, 0.5000, 0.5000], [0.5000, 0.0000, 0.5000], [0.5000, 0.5000, 0.0000], [0.0000, 0.0000, 0.5000], [0.0000, 0.5000, 0.0000], [0.5000, 0.0000, 0.0000], [0.5000, 0.5000, 0.5000], [0.2500, 0.2500, 0.2500], [0.2500, 0.2500, 0.7500], [0.2500, 0.7500, 0.2500], [0.2500, 0.7500, 0.7500], [0.7500, 0.2500, 0.2500], [0.7500, 0.2500, 0.7500], [0.7500, 0.7500, 0.2500], [0.7500, 0.7500, 0.7500]]
}

No. 3
{
  "formula": "CrCoIr2",
  "functional": "GGA-PBEsol",
  "state": "optimized geometry",
  "e_form_ev_per_atom": -0.0550,
  "cell": [[2.6184, 0.0000, 0.0000], [0.0000, 3.6676, 0.0000], [0.0000, 0.0000, 5.1759]],
  "species": ["Cr", "Co", "Ir", "Ir"],
  "frac_coords": [[0.0000, 0.0000, 0.0000], [0.5000, 0.5000, 0.7681], [0.0000, 0.0000, 0.5341], [0.5000, 0.5000, 0.2517]]
}

No. 4
{
  "formula": "BeNb2NiBi",
  "functional": "GGA-PBEsol",
  "state": "optimized geometry",
  "e_form_ev_per_atom": 2.1473,
  "cell": [[5.1854, 0.0000, 0.0000], [0.0000, 5.1854, 0.0000], [0.0000, 0.0000, 4.2604]],
  "species": ["Be", "Nb", "Nb", "Ni", "Bi"],
  "frac_coords": [[0.0000, 0.0000, 0.0000], [0.0000, 0.5000, 0.5000], [0.5000, 0.0000, 0.5000], [0.5000, 0.5000, 0.0000], [0.0000, 0.0000, 0.5000]]
}

No. 5
{
  "formula": "LiPPbCl2",
  "functional": "GGA-PBEsol",
  "state": "optimized geometry",
  "raw_formation_energy_mev_per_atom": -368,
  "cell": [[4.4841, 0.0000, 0.0000], [0.0000, 4.4841, 0.0000], [0.0000, 0.0000, 5.1094]],
  "species": ["Li", "P", "Pb", "Cl", "Cl"],
  "frac_coords": [[0.0000, 0.0000, 0.0000], [0.0000, 0.0000, 0.5000], [0.5000, 0.5000, 0.5000], [0.0000, 0.5000, 0.0000], [0.5000, 0.0000, 0.0000]]
}

No. 6
{
  "formula": "Li4HN",
  "functional": "GGA-PBEsol",
  "state": "optimized geometry",
  "cell": [[-2.4020, 2.4020, 4.9046], [2.4020, -2.4020, 4.9046], [2.4020, 2.4020, -4.9046]],
  "species": ["Li", "Li", "Li", "Li", "Li", "Li", "Li", "Li", "H", "H", "N", "N"],
  "frac_coords": [[0.0262, 0.7591, 0.8506], [0.2591, 0.9085, 0.7329], [0.3244, 0.4738, 0.2329], [0.4085, 0.1756, 0.6494], [0.5915, 0.8244, 0.3506], [0.6756, 0.5262, 0.7671], [0.7409, 0.0915, 0.2671], [0.9738, 0.2409, 0.1494], [0.1250, 0.3750, 0.7500], [0.8750, 0.6250, 0.2500], [0.3750, 0.1250, 0.2500], [0.6250, 0.8750, 0.7500]]
}

No. 7
{
  "formula": "Na2ZrMo3O12",
  "functional": "GGA-PBEsol",
  "state": "optimized geometry",
  "raw_formation_energy_mev_per_atom": -2264,
  "cell": [[8.1147, -5.6994, 0.0000], [8.1147, 5.6994, 0.0000], [-1.0955, 0.0000, 4.8419]],
  "species": ["Na", "Na", "Na", "Na", "Zr", "Zr", "Mo", "Mo", "Mo", "Mo", "Mo", "Mo", "O", "O", "O", "O", "O", "O", "O", "O", "O", "O", "O", "O", "O", "O", "O", "O", "O", "O", "O", "O", "O", "O", "O", "O"],
  "frac_coords": [[0.0437, 0.2752, 0.4005], [0.2752, 0.0437, 0.9005], [0.7248, 0.9563, 0.0995], [0.9563, 0.7248, 0.5995], [0.3763, 0.6237, 0.7500], [0.6237, 0.3763, 0.2500], [0.1520, 0.8480, 0.2500], [0.2356, 0.4355, 0.0995], [0.4355, 0.2356, 0.5995], [0.5645, 0.7644, 0.4005], [0.7644, 0.5645, 0.9005], [0.8480, 0.1520, 0.7500], [0.0151, 0.1409, 0.9387], [0.0827, 0.4753, 0.2474], [0.1409, 0.0151, 0.4387], [0.1818, 0.7163, 0.4868], [0.2116, 0.5904, 0.9330], [0.2331, 0.3049, 0.7994], [0.2837, 0.8182, 0.0132], [0.3049, 0.2331, 0.2994], [0.3889, 0.4614, 0.3857], [0.4096, 0.7884, 0.5670], [0.4614, 0.3889, 0.8857], [0.4753, 0.0827, 0.7474], [0.5247, 0.9173, 0.2526], [0.5386, 0.6111, 0.1143], [0.5904, 0.2116, 0.4330], [0.6111, 0.5386, 0.6143], [0.6951, 0.7669, 0.7006], [0.7163, 0.1818, 0.9868], [0.7669, 0.6951, 0.2006], [0.7884, 0.4096, 0.0670], [0.8182, 0.2837, 0.5132], [0.8591, 0.9849, 0.5613], [0.9173, 0.5247, 0.7526], [0.9849, 0.8591, 0.0613]]
}

No. 8
{
  "formula": "SrCaIn4",
  "functional": "GGA-PBEsol",
  "state": "optimized geometry",
  "e_form_ev_per_atom": -0.4241,
  "cell": [[0.0000, 4.3249, 4.3249], [4.3249, 0.0000, 4.3249], [4.3249, 4.3249, 0.0000]],
  "species": ["Sr", "Ca", "In", "In", "In", "In"],
  "frac_coords": [[0.0000, 0.0000, 0.0000], [0.2500, 0.2500, 0.2500], [0.1255, 0.6248, 0.6248], [0.6248, 0.1255, 0.6248], [0.6248, 0.6248, 0.1255], [0.6248, 0.6248, 0.6248]]
}

Listing total DFT energy (no corrections) for the structures above in their given order: -8.71 -6.81 -9.46 -5.07 -3.52 -3.71 -8.39 -3.07 eV per atom.